Entry P
Compound: Na2TmCl5
Source: the Alexandria database
Functional: PBE-GGA
Structure: optimized geometry

The calculation puts the magnetic moment at 0.000 μB per atom. The calculation puts the density of states at the Fermi level at 0.0 states/eV/cell.

It has space group Pnma (No. 62), with a = 12.064 Å, b = 8.192 Å, c = 7.720 Å, α = 90.00°, β = 90.00° and γ = 90.00°. The inequivalent atoms are Na at (0.176, 0.004, 0.025), Tm at (0.007, 0.750, 0.580), Cl at (0.014, 0.750, 0.933), Cl at (0.085, 0.045, 0.660), Cl at (0.180, 0.750, 0.367) and Cl at (0.203, 0.250, 0.318).

=====

Entry Q
Compound: Na2TmCl5
Source: the Alexandria database
Functional: PBE-GGA
Structure: optimized geometry

The calculation puts the magnetic moment at 0.000 μB per atom. The calculation puts the density of states at the Fermi level at 0.0 states/eV/cell.

It has space group Cmcm (No. 63), with a = 5.256 Å, b = 13.882 Å, c = 13.548 Å, α = 90.00°, β = 90.00° and γ = 90.00°. The inequivalent atoms are Na at (0.000, 0.145, 0.057), Tm at (0.000, 0.179, 0.750), Cl at (0.000, 0.045, 0.621), Cl at (0.000, 0.289, 0.250) and Cl at (0.000, 0.301, 0.599).

=====

The most stable arrangement is entry Q, and the next structure is 11 meV per atom less stable.